# 1
Density functional theory data (PBE) for Tc2Br4Cl3 after structural relaxation.

Cell: 13.6385 11.3505 7.1714 Å, 90.00 104.67 90.00°
Space group C2/c (No. 15)
Symmetry-distinct sites (fractional):
Tc (0.1635, 0.1459, 0.3228) x8
Br (0.1526, 0.2752, 0.6059) x8
Br (0.2271, 0.0285, 0.0622) x8
Cl (0.0000, 0.0504, 0.2500) x4
Cl (0.1034, 0.2929, 0.1112) x8

Values from the calculation:
- formation energy without anion corrections (eV per formula unit) = -3.7

---

# 2
Density functional theory data (PBE) for Tc2BrCl after structural relaxation.

Cell: 3.1058 3.3180 17.7182 Å, 90.00 90.00 90.00°
Space group Imm2 (No. 44)
Symmetry-distinct sites (fractional):
Tc (0.0000, 0.0000, 0.0000) x2
Tc (0.0000, 0.5000, 0.0890) x2
Br (0.0000, 0.5000, 0.6874) x2
Cl (0.0000, 0.0000, 0.4092) x2

Values from the calculation:
- formation energy without anion corrections (eV per formula unit) = 0.9

---

# 3
Density functional theory data (PBE) for Tc2BrCl after structural relaxation.

Cell: 2.9479 4.3269 5.4674 Å, 90.00 90.00 90.00°
Space group Pmmm (No. 47)
Symmetry-distinct sites (fractional):
Tc (0.0000, 0.0000, 0.0000) x1
Tc (0.5000, 0.0000, 0.5000) x1
Br (0.0000, 0.5000, 0.5000) x1
Cl (0.5000, 0.5000, 0.0000) x1

Values from the calculation:
- formation energy without anion corrections (eV per formula unit) = 3.7

---

# 4
Density functional theory data (PBE) for TcBrCl2 after structural relaxation.

Cell: 7.0129 7.0129 7.0129 Å, 90.00 90.00 90.00°
Space group Fm-3m (No. 225)
Symmetry-distinct sites (fractional):
Tc (0.0000, 0.0000, 0.0000) x4
Br (0.0000, 0.0000, 0.5000) x4
Cl (0.2500, 0.2500, 0.2500) x8

Values from the calculation:
- formation energy without anion corrections (eV per formula unit) = 2.6

---

# 5
Density functional theory data (PBE) for TcBrCl2 after structural relaxation.

Cell: 3.5320 4.8323 13.5653 Å, 90.00 90.00 90.00°
Space group Amm2 (No. 38)
Symmetry-distinct sites (fractional):
Tc (0.0000, 0.0000, 0.0000) x2
Br (0.5000, 0.0000, 0.1343) x2
Cl (0.0000, 0.0000, 0.4892) x2
Cl (0.5000, 0.0000, 0.8759) x2

Values from the calculation:
- formation energy without anion corrections (eV per formula unit) = -1.7

---

# 6
Density functional theory data (PBE) for Tc2BrCl after structural relaxation.

Cell: 3.0369 3.0369 28.8278 Å, 90.00 90.00 120.00°
Space group R3m (No. 160, hexagonal axes)
Symmetry-distinct sites (fractional):
Tc (0.0000, 0.0000, 0.0000) x3
Tc (0.0000, 0.0000, 0.2621) x3
Br (0.0000, 0.0000, 0.7354) x3
Cl (0.0000, 0.0000, 0.5326) x3

Values from the calculation:
- formation energy without anion corrections (eV per formula unit) = 0.7

---

# 7
Density functional theory data (PBE) for Tc2BrCl after structural relaxation.

Cell: 2.9326 5.4872 8.6672 Å, 90.00 90.00 90.00°
Space group Cmmm (No. 65)
Symmetry-distinct sites (fractional):
Tc (0.0000, 0.0000, 0.2431) x4
Br (0.0000, 0.5000, 0.5000) x2
Cl (0.0000, 0.5000, 0.0000) x2

Values from the calculation:
- formation energy without anion corrections (eV per formula unit) = 3.7

---

# 8
Density functional theory data (PBE) for TcBrCl2 after structural relaxation.

Cell: 5.1392 12.7000 3.4948 Å, 90.00 90.00 90.00°
Space group Cmmm (No. 65)
Symmetry-distinct sites (fractional):
Tc (0.0000, 0.0000, 0.0000) x2
Br (0.0000, 0.5000, 0.0000) x2
Cl (0.0000, 0.1314, 0.5000) x4

Values from the calculation:
- formation energy without anion corrections (eV per formula unit) = -1.6

---

# 9
Density functional theory data (PBE) for Tc2BrCl2 after structural relaxation.

Cell: 3.8907 3.8907 13.7308 Å, 90.00 90.00 90.00°
Space group I4/mmm (No. 139)
Symmetry-distinct sites (fractional):
Tc (0.0000, 0.5000, 0.2500) x4
Br (0.0000, 0.0000, 0.0000) x2
Cl (0.0000, 0.0000, 0.3510) x4

Values from the calculation:
- formation energy without anion corrections (eV per formula unit) = 1.9

---

# 10
Density functional theory data (PBE) for Tc2BrCl after structural relaxation.

Cell: 3.1447 3.1447 6.2525 Å, 90.00 90.00 90.00°
Space group P4/mmm (No. 123)
Symmetry-distinct sites (fractional):
Tc (0.0000, 0.0000, 0.2353) x2
Br (0.5000, 0.5000, 0.5000) x1
Cl (0.5000, 0.5000, 0.0000) x1

Values from the calculation:
- formation energy without anion corrections (eV per formula unit) = 4.3

---

# 11
Density functional theory data (PBE) for TcBrCl2 after structural relaxation.

Cell: 4.6618 4.6618 4.1837 Å, 90.00 90.00 90.00°
Space group P4/mmm (No. 123)
Symmetry-distinct sites (fractional):
Tc (0.0000, 0.0000, 0.0000) x1
Br (0.5000, 0.5000, 0.0000) x1
Cl (0.0000, 0.5000, 0.5000) x2

Values from the calculation:
- formation energy without anion corrections (eV per formula unit) = 2.9

---

# 12
Density functional theory data (PBE) for TcBrCl2 after structural relaxation.

Cell: 2.9711 6.3061 11.0226 Å, 90.00 90.00 90.00°
Space group Cmmm (No. 65)
Symmetry-distinct sites (fractional):
Tc (0.0000, 0.0000, 0.0000) x2
Br (0.0000, 0.0000, 0.5000) x2
Cl (0.0000, 0.5000, 0.1689) x4

Values from the calculation:
- formation energy without anion corrections (eV per formula unit) = 0.1